a | The following is a PBE-GGA calculation of an optimized crystal structure of DyYNiAu, from Alexandria via LeMat-Bulk.

Structure (POSCAR):
```
DyYNiAu
1.0
3.770 0.000 0.000
0.000 4.516 0.000
-1.885 0.000 5.247
Au Ni Dy Y
1 1 1 1
direct
0.578 0.500 0.157
0.418 0.000 0.837
0.862 0.500 0.723
0.142 0.000 0.284
```

=====

b | The following is a PBE-GGA calculation of an optimized crystal structure of DyYNiAu, from Alexandria via LeMat-Bulk.

Structure (POSCAR):
```
DyYNiAu
1.0
-2.023 -0.630 4.489
2.804 -1.553 3.790
1.131 3.119 3.691
Ni Dy Y Au
1 1 1 1
direct
0.000 0.000 0.000
0.250 0.250 0.250
0.750 0.750 0.750
0.500 0.500 0.500
```

=====

Pick the most stable structure from those above. Pick: a